No. 1
This record from OQMD describes a geometry-optimized LuCo4Sn2Ge4 structure. The functional is PBE-GGA.

abc: 6.271 6.271 6.271
angles: 116.87 116.87 95.51
Sites, in units of the cell vectors:
1 Co 0.758 0.423 0.000
2 Co 0.423 0.758 0.000
3 Co 0.577 0.577 0.336
4 Co 0.242 0.242 0.664
5 Ge 0.475 0.126 0.000
6 Ge 0.126 0.475 0.000
7 Ge 0.874 0.874 0.349
8 Ge 0.525 0.525 0.651
9 Lu 0.000 0.000 0.000
10 Sn 0.500 0.000 0.500
11 Sn 0.000 0.500 0.500

Values from the calculation:
- Space-group type: I-42m, No. 121
- Total energy: -62.93 eV for the cell shown
- Size of the total moment: 0.02 μB per cell

=====

No. 2
This record from OQMD describes a geometry-optimized LuTaCoGe structure. The functional is PBE-GGA.

abc: 4.560 4.560 4.560
angles: 60.00 60.00 60.00
Site moments in Bohr magnetons follow the coordinates.
Sites, in units of the cell vectors:
1 Co 0.750 0.750 0.750  0.77
2 Ge 0.000 0.000 0.000  0.00
3 Lu 0.500 0.500 0.500  0.24
4 Ta 0.250 0.250 0.250  0.97

Values from the calculation:
- Distance to the lowest polymorph of the same formula: 0.0 meV/atom
- Space-group type: F-43m, No. 216
- Total energy: -26.94 eV for the cell shown
- Size of the total moment: 2.23 μB per cell

=====

No. 3
This record from OQMD describes a geometry-optimized TbLuCoGe2 structure. The functional is PBE-GGA.

abc: 5.577 5.577 10.111
angles: 115.20 115.20 43.93
Sites, in units of the cell vectors:
1 Co 0.727 0.727 0.347
2 Co 0.273 0.273 0.653
3 Ge 0.486 0.486 0.125
4 Ge 0.345 0.345 0.441
5 Ge 0.655 0.655 0.559
6 Ge 0.514 0.514 0.875
7 Lu 0.007 0.007 0.335
8 Lu 0.993 0.993 0.665
9 Tb 0.190 0.190 0.116
10 Tb 0.810 0.810 0.884

Values from the calculation:
- Distance to the lowest polymorph of the same formula: 0.0 meV/atom
- Space-group type: C2/m, No. 12
- Total energy: -58.48 eV for the cell shown
- Size of the total moment: 0.00 μB per cell

=====

No. 4
This record from OQMD describes a geometry-optimized TbLuCoGe2 structure. The functional is PBE-GGA.

abc: 5.589 5.589 10.137
angles: 115.46 115.46 43.86
Sites, in units of the cell vectors:
1 Co 0.725 0.725 0.341
2 Co 0.275 0.275 0.659
3 Ge 0.484 0.484 0.120
4 Ge 0.341 0.341 0.438
5 Ge 0.659 0.659 0.562
6 Ge 0.516 0.516 0.880
7 Lu 0.187 0.187 0.115
8 Lu 0.813 0.813 0.885
9 Tb 0.003 0.003 0.331
10 Tb 0.997 0.997 0.669

Values from the calculation:
- Distance to the lowest polymorph of the same formula: 5.0 meV/atom
- Space-group type: C2/m, No. 12
- Total energy: -58.43 eV for the cell shown
- Size of the total moment: 0.00 μB per cell

=====

No. 5
This record from OQMD describes a geometry-optimized LuCoTcGe structure. The functional is PBE-GGA.

abc: 4.539 4.539 4.539
angles: 60.00 60.00 60.00
Site moments in Bohr magnetons follow the coordinates.
Sites, in units of the cell vectors:
1 Co 0.750 0.750 0.750  1.80
2 Ge 0.000 0.000 0.000  0.01
3 Lu 0.250 0.250 0.250  0.19
4 Tc 0.500 0.500 0.500  1.43

Values from the calculation:
- Distance to the lowest polymorph of the same formula: 326.7 meV/atom
- Space-group type: F-43m, No. 216
- Total energy: -25.85 eV for the cell shown
- Size of the total moment: 3.51 μB per cell

=====

No. 6
This record from OQMD describes a geometry-optimized LuCoTcGe structure. The functional is PBE-GGA.

abc: 4.425 4.425 4.425
angles: 60.00 60.00 60.00
Site moments in Bohr magnetons follow the coordinates.
Sites, in units of the cell vectors:
1 Co 0.750 0.750 0.750  0.17
2 Ge 0.000 0.000 0.000  0.00
3 Lu 0.500 0.500 0.500  0.09
4 Tc 0.250 0.250 0.250  0.37

Values from the calculation:
- Distance to the lowest polymorph of the same formula: 0.0 meV/atom
- Space-group type: F-43m, No. 216
- Total energy: -27.16 eV for the cell shown
- Size of the total moment: 0.65 μB per cell

=====

No. 7
This record from OQMD describes a geometry-optimized TmLuCoGe2 structure. The functional is PBE-GGA.

abc: 5.534 5.534 10.017
angles: 115.47 115.47 44.12
Sites, in units of the cell vectors:
1 Co 0.725 0.725 0.354
2 Co 0.275 0.275 0.646
3 Ge 0.483 0.483 0.124
4 Ge 0.348 0.348 0.435
5 Ge 0.652 0.652 0.565
6 Ge 0.517 0.517 0.876
7 Lu 0.007 0.007 0.333
8 Lu 0.993 0.993 0.667
9 Tm 0.186 0.186 0.113
10 Tm 0.814 0.814 0.887

Values from the calculation:
- Space-group type: C2/m, No. 12
- Total energy: -58.22 eV for the cell shown
- Size of the total moment: 0.00 μB per cell

=====

No. 8
This record from OQMD describes a geometry-optimized TmLuCoGe2 structure. The functional is PBE-GGA.

abc: 5.523 5.523 10.019
angles: 115.41 115.41 44.22
Sites, in units of the cell vectors:
1 Co 0.724 0.724 0.347
2 Co 0.276 0.276 0.653
3 Ge 0.483 0.483 0.122
4 Ge 0.346 0.346 0.437
5 Ge 0.654 0.654 0.563
6 Ge 0.517 0.517 0.878
7 Lu 0.187 0.187 0.114
8 Lu 0.813 0.813 0.886
9 Tm 0.005 0.005 0.332
10 Tm 0.995 0.995 0.668

Values from the calculation:
- Space-group type: C2/m, No. 12
- Total energy: -58.21 eV for the cell shown
- Size of the total moment: 0.01 μB per cell

=====

No. 9
This record from OQMD describes a geometry-optimized LuZnCoGe structure. The functional is PBE-GGA.

abc: 4.457 4.457 4.457
angles: 60.00 60.00 60.00
Sites, in units of the cell vectors:
1 Co 0.750 0.750 0.750
2 Ge 0.000 0.000 0.000
3 Lu 0.500 0.500 0.500
4 Zn 0.250 0.250 0.250

Values from the calculation:
- Distance to the lowest polymorph of the same formula: 59.8 meV/atom
- Space-group type: F-43m, No. 216
- Total energy: -18.18 eV for the cell shown
- Size of the total moment: 0.00 μB per cell

=====

No. 10
This record from OQMD describes a geometry-optimized LuZnCoGe structure. The functional is PBE-GGA.

abc: 4.489 4.489 4.489
angles: 60.00 60.00 60.00
Site moments in Bohr magnetons follow the coordinates.
Sites, in units of the cell vectors:
1 Co 0.750 0.750 0.750  0.17
2 Ge 0.000 0.000 0.000  0.00
3 Lu 0.250 0.250 0.250  -0.01
4 Zn 0.500 0.500 0.500  -0.01

Values from the calculation:
- Distance to the lowest polymorph of the same formula: 0.0 meV/atom
- Space-group type: F-43m, No. 216
- Total energy: -18.42 eV for the cell shown
- Size of the total moment: 0.14 μB per cell

=====

No. 11
This record from OQMD describes a geometry-optimized LuZr2Co4Ge4 structure. The functional is PBE-GGA.

abc: 7.560 7.560 7.560
angles: 150.32 127.28 61.67
Sites, in units of the cell vectors:
1 Co 0.626 0.323 0.302
2 Co 0.979 0.677 0.302
3 Co 0.021 0.323 0.698
4 Co 0.374 0.677 0.698
5 Ge 0.218 0.218 0.000
6 Ge 0.782 0.782 0.000
7 Ge 0.693 0.500 0.193
8 Ge 0.307 0.500 0.807
9 Lu 0.000 0.000 0.000
10 Zr 0.629 0.129 0.500
11 Zr 0.371 0.871 0.500

Values from the calculation:
- Space-group type: Immm, No. 71
- Total energy: -75.65 eV for the cell shown
- Size of the total moment: 0.05 μB per cell

=====

No. 12
This record from OQMD describes a geometry-optimized MgCoGe structure. The functional is PBE-GGA.

abc: 3.889 3.889 6.160
angles: 90.00 90.00 90.00
Sites, in units of the cell vectors:
1 Co 0.750 0.250 0.000
2 Co 0.250 0.750 0.000
3 Ge 0.250 0.250 0.226
4 Ge 0.750 0.750 0.774
5 Mg 0.750 0.750 0.322
6 Mg 0.250 0.250 0.678

Values from the calculation:
- Space-group type: P4/nmm, No. 129
- Total energy: -28.32 eV for the cell shown
- Size of the total moment: 0.00 μB per cell

=====

No. 13
This record from OQMD describes a geometry-optimized MgCoGe2 structure. The functional is PBE-GGA.

abc: 4.467 4.467 4.467
angles: 60.00 60.00 60.00
Sites, in units of the cell vectors:
1 Co 0.250 0.250 0.250
2 Ge 0.000 0.000 0.000
3 Ge 0.750 0.750 0.750
4 Mg 0.500 0.500 0.500

Values from the calculation:
- Space-group type: F-43m, No. 216
- Total energy: -16.95 eV for the cell shown
- Size of the total moment: 0.02 μB per cell

=====

No. 14
This record from OQMD describes a geometry-optimized Mg2CoGe structure. The functional is PBE-GGA.

abc: 4.396 4.396 4.396
angles: 60.00 60.00 60.00
Sites, in units of the cell vectors:
1 Co 0.250 0.250 0.250
2 Ge 0.500 0.500 0.500
3 Mg 0.000 0.000 0.000
4 Mg 0.750 0.750 0.750

Values from the calculation:
- Space-group type: F-43m, No. 216
- Total energy: -14.66 eV for the cell shown
- Size of the total moment: 0.00 μB per cell

=====

No. 15
This record from OQMD describes a geometry-optimized MgCoGeMo structure. The functional is PBE-GGA.

abc: 4.343 4.343 4.343
angles: 60.00 60.00 60.00
Sites, in units of the cell vectors:
1 Co 0.750 0.750 0.750
2 Ge 0.000 0.000 0.000
3 Mg 0.500 0.500 0.500
4 Mo 0.250 0.250 0.250

Values from the calculation:
- Distance to the lowest polymorph of the same formula: 0.0 meV/atom
- Space-group type: F-43m, No. 216
- Total energy: -23.13 eV for the cell shown
- Size of the total moment: 1.02 μB per cell

=====

No. 16
This record from OQMD describes a geometry-optimized MgCoGeOs structure. The functional is PBE-GGA.

abc: 4.237 4.237 4.237
angles: 60.00 60.00 60.00
Sites, in units of the cell vectors:
1 Co 0.750 0.750 0.750
2 Ge 0.000 0.000 0.000
3 Mg 0.500 0.500 0.500
4 Os 0.250 0.250 0.250

Values from the calculation:
- Distance to the lowest polymorph of the same formula: 0.0 meV/atom
- Space-group type: F-43m, No. 216
- Total energy: -24.36 eV for the cell shown
- Size of the total moment: 0.00 μB per cell

=====

No. 17
This record from OQMD describes a geometry-optimized PrMgCo2Ge2 structure. The functional is PBE-GGA.

abc: 4.111 4.111 6.452
angles: 90.00 90.00 90.00
Site moments in Bohr magnetons follow the coordinates.
Sites, in units of the cell vectors:
1 Co 0.500 0.000 0.011  0.64
2 Co 0.000 0.500 0.011  0.53
3 Ge 0.500 0.500 0.196  -0.01
4 Ge 0.000 0.000 0.819  -0.01
5 Mg 0.000 0.000 0.301  0.00
6 Pr 0.500 0.500 0.662  0.03

Values from the calculation:
- Space-group type: P4mm, No. 99
- Total energy: -32.33 eV for the cell shown
- Size of the total moment: 1.19 μB per cell

=====

No. 18
This record from OQMD describes a geometry-optimized MgCoGePt structure. The functional is PBE-GGA.

abc: 4.320 4.320 4.320
angles: 60.00 60.00 60.00
Site moments in Bohr magnetons follow the coordinates.
Sites, in units of the cell vectors:
1 Co 0.750 0.750 0.750  1.13
2 Ge 0.000 0.000 0.000  0.01
3 Mg 0.500 0.500 0.500  -0.01
4 Pt 0.250 0.250 0.250  0.14

Values from the calculation:
- Distance to the lowest polymorph of the same formula: 0.0 meV/atom
- Space-group type: F-43m, No. 216
- Total energy: -20.65 eV for the cell shown
- Size of the total moment: 1.22 μB per cell

=====

No. 19
This record from OQMD describes a geometry-optimized MgCoReGe structure. The functional is PBE-GGA.

abc: 4.278 4.278 4.278
angles: 60.00 60.00 60.00
Sites, in units of the cell vectors:
1 Co 0.750 0.750 0.750
2 Ge 0.000 0.000 0.000
3 Mg 0.500 0.500 0.500
4 Re 0.250 0.250 0.250

Values from the calculation:
- Distance to the lowest polymorph of the same formula: 0.0 meV/atom
- Space-group type: F-43m, No. 216
- Total energy: -24.58 eV for the cell shown
- Size of the total moment: 0.68 μB per cell

=====

No. 20
This record from OQMD describes a geometry-optimized MgScCoGe structure. The functional is PBE-GGA.

abc: 4.405 4.405 4.405
angles: 60.00 60.00 60.00
Sites, in units of the cell vectors:
1 Co 0.750 0.750 0.750
2 Ge 0.000 0.000 0.000
3 Mg 0.250 0.250 0.250
4 Sc 0.500 0.500 0.500

Values from the calculation:
- Distance to the lowest polymorph of the same formula: 0.0 meV/atom
- Space-group type: F-43m, No. 216
- Total energy: -20.62 eV for the cell shown
- Size of the total moment: 0.01 μB per cell